## a
GGA-PBE CuSbBr2, optimized geometry; M_tot = 0.0 μB/cell; SG = No. 44
1.0
-1.8012 2.7420 6.5839
1.8012 -2.7420 6.5839
1.8012 2.7420 -6.5839
Cu Sb Br
1 1 2
direct
0.0000 0.0000 0.0000
0.1432 0.6432 0.5000
0.5904 0.5904 0.0000
0.8783 0.3783 0.5000


## b
GGA-PBE CuSbBr2, optimized geometry; M_tot = 0.0 μB/cell; SG = No. 122
1.0
-3.7572 3.7572 3.5399
3.7572 -3.7572 3.5399
3.7572 3.7572 -3.5399
Cu Sb Br
2 2 4
direct
0.0000 0.0000 0.0000
0.7500 0.2500 0.5000
0.2500 0.7500 0.5000
0.5000 0.5000 0.0000
0.0712 0.1250 0.4462
0.3750 0.9288 0.0538
0.6788 0.6250 0.5538
0.8750 0.3212 0.9462


Stability ranking, top and bottom: a is the most stable and b is the least stable.


## a
GGA-PBE CuSbBr2, optimized geometry; M_tot = 0.0 μB/cell; SG = No. 12
1.0
4.0331 -4.0242 0.0000
4.0331 4.0242 0.0000
-0.0070 0.0000 3.4210
Cu Sb Br
1 1 2
direct
0.0000 0.0000 0.0000
0.5000 0.5000 0.0000
0.0000 0.5000 0.0000
0.5000 0.0000 0.0000


## b
GGA-PBE CuSbBr2, optimized geometry; M_tot = 0.6 μB/cell; SG = No. 119
1.0
-2.0140 2.0140 7.1569
2.0140 -2.0140 7.1569
2.0140 2.0140 -7.1569
Cu Sb Br
1 1 2
direct
0.0000 0.0000 0.0000
0.2500 0.7500 0.5000
0.5000 0.5000 0.0000
0.7500 0.2500 0.5000


## c
GGA-PBE CuSbBr2, optimized geometry; M_tot = 0.0 μB/cell; SG = No. 12
1.0
7.0391 -1.7553 0.0000
7.0391 1.7553 0.0000
-1.1240 0.0000 4.8956
Cu Sb Br
1 1 2
direct
0.0000 0.0000 0.0000
0.5000 0.5000 0.5000
0.3620 0.3620 0.8268
0.6380 0.6380 0.1732


## d
GGA-PBE CuSbBr2, optimized geometry; M_tot = 0.0 μB/cell; SG = No. 160
1.0
1.9320 1.1154 8.9904
-1.9320 1.1154 8.9904
0.0000 -2.2308 8.9904
Cu Sb Br
1 1 2
direct
0.0000 0.0000 0.0000
0.2744 0.2744 0.2744
0.5344 0.5344 0.5344
0.7156 0.7156 0.7156


Stability ranking, top and bottom: d is the most stable and b is the least stable.


## a
GGA-PBE CuSbBr2, optimized geometry; M_tot = 0.0 μB/cell; SG = No. 8
1.0
4.0013 -1.8229 0.0000
4.0013 1.8229 0.0000
-1.2856 0.0000 8.4506
Cu Sb Br
1 1 2
direct
0.0000 0.0000 0.0000
0.6899 0.6899 0.1601
0.3691 0.3691 0.8356
0.5563 0.5563 0.4133


## b
GGA-PBE CuSbBr2, optimized geometry; M_tot = 0.0 μB/cell; SG = No. 35
1.0
1.8867 -3.2345 0.0000
1.8867 3.2345 0.0000
0.0000 0.0000 9.1861
Cu Sb Br
1 1 2
direct
0.0000 0.0000 0.0000
0.5000 0.5000 0.8029
0.0000 0.0000 0.5597
0.5000 0.5000 0.1596


Stability ranking, top and bottom: a is the most stable and b is the least stable.